{"formula": "Ba4LiY3Se8", "functional": "GGA-PBE", "state": "optimized geometry", "lattice": [[4.333, 2.501, 7.298], [-4.333, 2.501, 7.298], [0.000, -5.003, 7.298]], "species": ["Ba", "Ba", "Ba", "Ba", "Li", "Y", "Y", "Y", "Se", "Se", "Se", "Se", "Se", "Se", "Se", "Se"], "frac_coords": [[0.000, 0.000, 0.000], [0.000, 0.500, 0.500], [0.500, 0.000, 0.500], [0.500, 0.500, 0.000], [0.500, 0.500, 0.500], [0.000, 0.000, 0.500], [0.000, 0.500, 0.000], [0.500, 0.000, 0.000], [0.234, 0.739, 0.739], [0.238, 0.238, 0.238], [0.261, 0.261, 0.766], [0.261, 0.766, 0.261], [0.739, 0.234, 0.739], [0.739, 0.739, 0.234], [0.762, 0.762, 0.762], [0.766, 0.261, 0.261]], "raw_formation_energy_ev_per_atom": -1.853, "dos_at_fermi_per_ev_atom": 0.308}